# Zn3Pt

A relaxed structure of Zn3Pt (PBEsol, Alexandria via LeMat-Bulk).

Unit cell a=2.773 b=4.626 c=5.098 alpha=116.98 beta=105.78 gamma=90.00
Fractional coordinates of all 4 atoms:
Zn 0.254 0.922 0.509
Zn 0.500 0.503 0.000
Zn 0.746 0.413 0.491
Pt 0.000 0.995 0.000

Summary:
ΔH_f (0 K): -334 meV per atom
symmetry: Imm2 (44)
M_tot: 0.00 μB/cell